This record from the Alexandria database describes a relaxed structure of Cs3PtI6. The functional is GGA-PBE.

Output
Excess energy over the best structure of this formula in the dataset in kJ/mol of atoms: 0.0
Crystal system: trigonal
Raw formation energy in eV per atom: -0.907
Electronic total energy in eV per cell: -53.943

Lattice parameters (Å, degrees): 9.7149 9.7149 9.7149 84.79 84.79 84.79
Last column: magnetic moment on the atom in μB.
Element x y z (fractional)
Cs1 0.4752 0.8661 0.8561  0.00
Cs2 0.8661 0.8561 0.4752  0.00
Cs3 0.1439 0.5248 0.1339  0.00
Cs4 0.8561 0.4752 0.8661  0.00
Cs5 0.1339 0.1439 0.5248  0.00
Cs6 0.5248 0.1339 0.1439  0.00
Pt1 0.0000 0.0000 0.0000  0.42
Pt2 0.5000 0.5000 0.5000  0.00
I1 0.1914 0.8971 0.1901  0.06
I2 0.1029 0.8099 0.8086  0.06
I3 0.4864 0.7916 0.4818  0.00
I4 0.8099 0.8086 0.1029  0.06
I5 0.4818 0.4864 0.7916  0.00
I6 0.2084 0.5182 0.5136  0.00
I7 0.7916 0.4818 0.4864  0.00
I8 0.5182 0.5136 0.2084  0.00
I9 0.1901 0.1914 0.8971  0.06
I10 0.5136 0.2084 0.5182  0.00
I11 0.8971 0.1901 0.1914  0.06
I12 0.8086 0.1029 0.8099  0.06

---

This record from the Alexandria database describes a relaxed structure of Cs6Pt3I14. The functional is GGA-PBE.

Output
Crystal system: trigonal
Raw formation energy in eV per atom: -0.750
Electronic total energy in eV per cell: -62.185

Lattice parameters (Å, degrees): 7.6543 13.5641 13.5641 120.00 90.00 90.00
Last column: magnetic moment on the atom in μB.
Element x y z (fractional)
Cs1 0.2658 0.8122 0.0932  0.00
Cs2 0.2658 0.9068 0.7189  0.00
Cs3 0.2658 0.2811 0.1878  0.00
Cs4 0.7365 0.5198 0.5705  0.00
Cs5 0.7365 0.4295 0.9493  0.00
Cs6 0.7365 0.0507 0.4802  0.00
Pt1 0.8642 0.0000 0.0000  0.94
Pt2 0.3409 0.3333 0.6667  0.95
Pt3 0.5013 0.6667 0.3333  -0.03
I1 0.9465 0.0711 0.2189  0.13
I2 0.9465 0.7811 0.8522  0.13
I3 0.9465 0.1478 0.9289  0.13
I4 0.4257 0.2525 0.4468  0.14
I5 0.4257 0.5532 0.8057  0.14
I6 0.4257 0.1943 0.7475  0.14
I7 0.5134 0.0000 0.0000  0.18
I8 0.9901 0.3333 0.6667  0.18
I9 0.7044 0.7396 0.2176  0.00
I10 0.7044 0.7824 0.5220  0.00
I11 0.7044 0.4780 0.2604  0.00
I12 0.2987 0.5959 0.4508  0.00
I13 0.2987 0.5492 0.1451  0.00
I14 0.2987 0.8549 0.4041  0.00

---

This record from the Alexandria database describes a relaxed structure of Cs2PtI5. The functional is GGA-PBE.

Output
Crystal system: tetragonal
Raw formation energy in eV per atom: -0.833
Electronic total energy in eV per cell: -22.162

Lattice parameters (Å, degrees): 8.1134 8.1134 8.1134 94.85 117.24 117.24
Last column: magnetic moment on the atom in μB.
Element x y z (fractional)
Cs1 0.5000 0.2415 0.7415  0.00
Cs2 0.5000 0.7415 0.2415  0.00
Pt1 0.0000 0.0128 0.0128  0.35
I1 0.5537 0.7662 0.7662  0.03
I2 0.0000 0.7662 0.2124  0.03
I3 0.0000 0.2124 0.7662  0.03
I4 0.4463 0.2124 0.2124  0.03
I5 0.0000 0.2690 0.2690  0.22